DFT (PBE) results for a relaxed structure of FeAg2Pb.

Output
**ΔH_f (0 K)**: 35 kJ per mole of atoms
**DOS at the Fermi energy**: 1.98 states/eV/f.u.
**V**: 19.4 Å³/atom
**M_tot**: 2.810 μB per formula unit
**Calculated total energy**: -4.10 eV per atom

POSCAR file:
```
FeAg2Pb
1.0
-1.6684 0.3708 2.6474
-0.8856 -3.0211 -0.1350
6.2518 -2.0214 4.2229
Ag Fe Pb
2 1 1
direct
0.0000 0.0000 0.0345
0.5000 0.5000 0.2683
0.0000 0.0000 0.4688
0.5000 0.5000 0.7284
```

---

DFT (PBE) results for a relaxed structure of FeAg2Pb.

Output
**ΔH_f (0 K)**: 40 kJ per mole of atoms
**DOS at the Fermi energy**: 4.43 states/eV/f.u.
**V**: 19.0 Å³/atom
**M_tot**: 2.823 μB per formula unit
**Calculated total energy**: -4.06 eV per atom

POSCAR file:
```
FeAg2Pb
1.0
4.7342 -0.3507 0.0000
0.3203 4.7364 0.0000
-2.5273 -2.1928 3.3676
Ag Fe Pb
2 1 1
direct
0.0000 0.0000 0.0000
0.2500 0.7500 0.5000
0.5000 0.5000 0.0000
0.7500 0.2500 0.5000
```

---

- Look up the calculated total energy of the second one.
  -4.06 eV per atom

---

Please write out number 1 again, unchanged.
DFT (PBE) results for a relaxed structure of FeAg2Pb.

Output
**ΔH_f (0 K)**: 35 kJ per mole of atoms
**DOS at the Fermi energy**: 1.98 states/eV/f.u.
**V**: 19.4 Å³/atom
**M_tot**: 2.810 μB per formula unit
**Calculated total energy**: -4.10 eV per atom

POSCAR file:
```
FeAg2Pb
1.0
-1.6684 0.3708 2.6474
-0.8856 -3.0211 -0.1350
6.2518 -2.0214 4.2229
Ag Fe Pb
2 1 1
direct
0.0000 0.0000 0.0345
0.5000 0.5000 0.2683
0.0000 0.0000 0.4688
0.5000 0.5000 0.7284
```